# 1
Here is an optimized crystal structure of Pr8Er4Th from the Alexandria database. Energies are from GGA-PBE.

Its formation energy is 0.22 eV/atom. As for the spin magnetization: 0.00 μB per atom. The volume is 35.06 Å³/atom. Its density of states at the Fermi level is 1.16 states/eV per atom. The calculation puts the final energy at -4.694 eV/atom.

It has space group R-3m (No. 166, hexagonal axes), with a = 7.3724 Å, b = 7.3724 Å, c = 29.0516 Å, α = 90.00°, β = 90.00° and γ = 120.00°. Symmetry generates all atoms from Pr at (0.0000, 0.0000, 0.2134), Pr at (0.0325, 0.5162, 0.7629), Er at (0.0000, 0.0000, 0.0000), Er at (0.0000, 0.5000, 0.0000) and Th at (0.0000, 0.0000, 0.5000).

# 2
Here is an optimized crystal structure of CaAl3Bi from the Alexandria database. Energies are from GGA-PBE.

As for the offset from the most stable computed form: 0.367 eV/atom. Its formation energy is 1.06 eV/atom. As for the spin magnetization: 0.00 μB per atom. The volume is 33.70 Å³/atom. Its density of states at the Fermi level is 0.96 states/eV per atom. The calculation puts the final energy at -2.360 eV/atom.

It has space group Pm-3m (No. 221), with a = 5.524 Å, b = 5.524 Å, c = 5.524 Å, α = 90.00°, β = 90.00° and γ = 90.00°. Symmetry generates all atoms from Ca at (0.000, 0.000, 0.000), Al at (0.000, 0.000, 0.500) and Bi at (0.500, 0.500, 0.500).

# 3
Here is an optimized crystal structure of CsSrF3 from the Alexandria database. Energies are from GGA-PBE.

As for the offset from the most stable computed form: 0.000 eV/atom. Its energy relative to the elements, uncorrected is -17.164 eV per formula unit. As for the spin magnetization: 0.00 μB per atom. The volume is 22.22 Å³/atom. Its density of states at the Fermi level is 0.00 states/eV per atom. The calculation puts the final energy at -5.063 eV/atom.

It has space group P-1 (No. 2), with a = 6.763 Å, b = 6.772 Å, c = 6.813 Å, α = 119.80°, β = 119.74° and γ = 90.00°. Symmetry generates all atoms from Cs at (0.250, 0.247, 0.000), Sr at (0.000, 0.500, 0.500), Sr at (0.500, 0.000, 0.500), F at (0.202, 0.789, 0.491), F at (0.251, 0.762, 0.000) and F at (0.297, 0.297, 0.508).

# 4
Here is an optimized crystal structure of CrCoSb2 from the Alexandria database. Energies are from GGA-PBE.

Its energy relative to the elements, uncorrected is 0.771 eV per formula unit. As for the spin magnetization: 0.80 μB per atom. The volume is 18.56 Å³/atom. Its density of states at the Fermi level is 0.61 states/eV per atom. The calculation puts the final energy at -6.051 eV/atom.

It has space group Imm2 (No. 44), with a = 3.096 Å, b = 3.919 Å, c = 12.235 Å, α = 90.00°, β = 90.00° and γ = 90.00°. Symmetry generates all atoms from Cr at (0.000, 0.000, 0.000), Co at (0.000, 0.500, 0.284), Sb at (0.000, 0.000, 0.610) and Sb at (0.000, 0.500, 0.845).

# 5
Here is an optimized crystal structure of Pu2PdPb from the Alexandria database. Energies are from GGA-PBE.

Its formation energy is -0.27 eV/atom. As for the spin magnetization: 2.87 μB per atom. The volume is 23.39 Å³/atom. Its density of states at the Fermi level is 2.73 states/eV per atom. The calculation puts the final energy at -9.662 eV/atom.

It has space group P4/mmm (No. 123), with a = 4.436 Å, b = 4.436 Å, c = 4.754 Å, α = 90.00°, β = 90.00° and γ = 90.00°. Symmetry generates all atoms from Pu at (0.000, 0.500, 0.000), Pd at (0.000, 0.000, 0.500) and Pb at (0.500, 0.500, 0.500).

# 6
Here is an optimized crystal structure of Ti2Ga2Au from the Alexandria database. Energies are from GGA-PBE.

As for the offset from the most stable computed form: 0.052 eV/atom. Its formation energy is -0.37 eV/atom. As for the spin magnetization: 0.00 μB per atom. The volume is 16.49 Å³/atom. Its density of states at the Fermi level is 0.56 states/eV per atom. The calculation puts the final energy at -5.391 eV/atom.

It has space group Cmc2_1 (No. 36), with a = 4.171 Å, b = 14.356 Å, c = 5.506 Å, α = 90.00°, β = 90.00° and γ = 90.00°. Symmetry generates all atoms from Ti at (0.000, 0.000, 0.000), Ti at (0.000, 0.199, 0.432), Ga at (0.000, 0.187, 0.930), Ga at (0.000, 0.404, 0.741) and Au at (0.000, 0.399, 0.233).

# 7
Here is an optimized crystal structure of PmHo4Sb5 from the Alexandria database. Energies are from GGA-PBE.

Its energy relative to the elements, uncorrected is -11.253 eV per formula unit. As for the spin magnetization: 0.00 μB per atom. The volume is 29.98 Å³/atom. Its density of states at the Fermi level is 0.19 states/eV per atom. The calculation puts the final energy at -5.493 eV/atom.

It has space group Immm (No. 71), with a = 4.394 Å, b = 6.214 Å, c = 21.960 Å, α = 90.00°, β = 90.00° and γ = 90.00°. Symmetry generates all atoms from Pm at (0.000, 0.000, 0.000), Ho at (0.000, 0.000, 0.202), Ho at (0.000, 0.000, 0.400), Sb at (0.000, 0.500, 0.000), Sb at (0.000, 0.500, 0.199) and Sb at (0.000, 0.500, 0.397).

# 8
Here is an optimized crystal structure of Ba5NbBr2N4 from the Alexandria database. Energies are from GGA-PBE.

Its energy relative to the elements, uncorrected is -12.222 eV per formula unit. As for the spin magnetization: 0.06 μB per atom. The volume is 26.47 Å³/atom. Its density of states at the Fermi level is 0.28 states/eV per atom. The calculation puts the final energy at -5.713 eV/atom.

It has space group Amm2 (No. 38), with a = 8.905 Å, b = 10.564 Å, c = 6.752 Å, α = 90.00°, β = 90.00° and γ = 90.00°. Symmetry generates all atoms from Ba at (0.000, 0.000, 0.000), Ba at (0.307, 0.179, 0.375), Nb at (0.500, 0.000, 0.893), Br at (0.000, 0.203, 0.652), N at (0.318, 0.000, 0.069) and N at (0.500, 0.154, 0.716).

# 9
Here is an optimized crystal structure of PrSm12Ho5 from the Alexandria database. Energies are from GGA-PBE.

Its formation energy is 0.02 eV/atom. As for the spin magnetization: 0.00 μB per atom. The volume is 33.08 Å³/atom. Its density of states at the Fermi level is 1.44 states/eV per atom. The calculation puts the final energy at -4.665 eV/atom.

It has space group P2/m (No. 10), with a = 10.802 Å, b = 5.097 Å, c = 10.814 Å, α = 90.00°, β = 90.04° and γ = 90.00°. Symmetry generates all atoms from Pr at (0.000, 0.000, 0.000), Sm at (0.001, 0.000, 0.666), Sm at (0.167, 0.500, 0.167), Sm at (0.169, 0.500, 0.501), Sm at (0.334, 0.000, 0.999), Sm at (0.335, 0.000, 0.335), Sm at (0.499, 0.500, 0.831), Ho at (0.168, 0.500, 0.832), Ho at (0.333, 0.000, 0.667) and Ho at (0.500, 0.500, 0.500).

# 10
Here is an optimized crystal structure of NbAg2Ru4 from the Alexandria database. Energies are from GGA-PBE.

Its formation energy is 1.51 eV/atom. As for the spin magnetization: 0.68 μB per atom. The volume is 20.95 Å³/atom. Its density of states at the Fermi level is 1.24 states/eV per atom. The calculation puts the final energy at -6.044 eV/atom.

It has space group I4/mmm (No. 139), with a = 4.713 Å, b = 4.713 Å, c = 13.207 Å, α = 90.00°, β = 90.00° and γ = 90.00°. Symmetry generates all atoms from Nb at (0.000, 0.000, 0.000), Ag at (0.000, 0.000, 0.385), Ru at (0.000, 0.000, 0.183) and Ru at (0.000, 0.500, 0.000).

# 11
Here is an optimized crystal structure of Pm7Tm12Sc from the Alexandria database. Energies are from GGA-PBE.

As for the offset from the most stable computed form: 0.470 eV/atom. Its formation energy is 0.71 eV/atom. As for the spin magnetization: 0.00 μB per atom. The volume is 34.77 Å³/atom. Its density of states at the Fermi level is 1.52 states/eV per atom. The calculation puts the final energy at -3.957 eV/atom.

It has space group Im-3m (No. 229), with a = 11.162 Å, b = 11.162 Å, c = 11.162 Å, α = 90.00°, β = 90.00° and γ = 90.00°. Symmetry generates all atoms from Pm at (0.000, 0.000, 0.500), Pm at (0.250, 0.250, 0.250), Tm at (0.000, 0.241, 0.241) and Sc at (0.000, 0.000, 0.000).

# 12
Here is an optimized crystal structure of Ti3Ga from the Alexandria database. Energies are from GGA-PBE.

Its formation energy is -0.22 eV/atom. As for the spin magnetization: 0.00 μB per atom. The volume is 16.57 Å³/atom. Its density of states at the Fermi level is 0.99 states/eV per atom. The calculation puts the final energy at -6.897 eV/atom.

It has space group Pmm2 (No. 25), with a = 2.910 Å, b = 4.652 Å, c = 4.896 Å, α = 90.00°, β = 90.00° and γ = 90.00°. Symmetry generates all atoms from Ti at (0.000, 0.000, 0.000), Ti at (0.000, 0.500, 0.373), Ti at (0.500, 0.000, 0.510) and Ga at (0.500, 0.500, 0.864).